# CsTlBiF6

A relaxed CsTlBiF6 crystal (PBE, the Alexandria database).

Summary:
- Uncorrected formation energy: -219.1 kJ per mole of atoms
- Space group: P312 (149)
- Calculated volume: 24.48 A^3/atom

Cell lengths 6.5292, 6.5292, 5.9693 Å; angles 90.02, 89.98, 59.96 degrees
Closest atoms and distances in Å follow each position.
Positions (direct):
F (0.6078, 0.0190, 0.2958)  1 Bi 2.29, 1 Tl 2.46
F (0.0190, 0.6078, 0.7042)  1 Bi 2.29, 1 Tl 2.46
F (0.6073, 0.3734, 0.7044)  1 Bi 2.29, 1 Tl 2.46
F (0.3730, 0.0195, 0.7042)  1 Bi 2.29, 1 Tl 2.46
F (0.0195, 0.3730, 0.2958)  1 Bi 2.29, 1 Tl 2.46
F (0.3733, 0.6074, 0.2956)  1 Bi 2.29, 1 Tl 2.46
Cs (0.0000, 0.0000, 0.0000)  6 F 3.06
Bi (0.3333, 0.3334, 0.5000)  6 F 2.29
Tl (0.6665, 0.6666, 0.5000)  6 F 2.46